LiV2O3F | PBE+U | optimized geometry

Unit cell a=5.9992 b=5.9992 c=6.0242 alpha=60.73 beta=60.73 gamma=60.29
Element x y z (fractional)
V (0.8698, 0.8698, 0.3889)
V (0.4936, 0.4936, 0.4936)
V (0.0007, 0.4830, 0.0073)
V (0.4830, 0.0007, 0.0073)
O (0.7510, 0.7510, 0.7794)
O (0.7470, 0.2651, 0.2499)
O (0.2651, 0.7470, 0.2499)
O (0.2561, 0.2561, 0.2082)
O (0.2641, 0.2641, 0.7479)
O (0.7341, 0.7341, 0.2557)
F (0.7285, 0.2549, 0.7509)
F (0.2549, 0.7285, 0.7509)
Li (0.4911, 0.4911, 0.0216)
Li (0.1367, 0.1367, 0.6005)

Calculated values
V	11.09	Å³/atom
total moment	8.0	μB/cell
final energy	-98.5	eV for the cell shown